1.
CaCdIn | PBEsol | optimized geometry

```
CaCdIn
1.0
4.948 0.000 0.000
2.474 4.285 0.000
2.474 1.428 4.040
In Ca Cd
1 1 1
direct
0.250 0.250 0.250
0.000 0.000 0.000
0.500 0.500 0.500
```

Output
**Calculated total energy**: -2.307 eV per atom
**Total magnetization**: 0.00 μB per formula unit

=====

2.
RbCa2CdIn | PBEsol | optimized geometry

```
RbCa2CdIn
1.0
-2.075 3.098 -4.712
-2.466 -5.013 -2.210
-5.653 1.305 3.347
Ca Rb Cd In
2 1 1 1
direct
0.500 0.000 0.000
0.000 0.500 0.000
0.000 0.000 0.500
0.500 0.500 0.500
0.000 0.000 0.000
```

Output
**Calculated total energy**: -1.667 eV per atom
**Total magnetization**: 0.00 μB per formula unit

=====

3.
CaCdIr2 | PBEsol | optimized geometry

```
CaCdIr2
1.0
-1.479 0.351 -2.401
-0.141 -2.641 1.038
-7.405 2.319 4.899
Ca Ir Cd
1 2 1
direct
0.500 0.500 0.500
0.000 0.000 0.248
0.000 0.000 0.752
0.500 0.500 0.000
```

Output
**Calculated total energy**: -5.476 eV per atom
**Total magnetization**: 0.00 μB per formula unit

=====

4.
CaCdIr2 | PBEsol | optimized geometry

```
CaCdIr2
1.0
-1.029 1.065 -2.652
1.967 -3.541 -2.185
-4.089 -2.605 0.540
Ir Ca Cd
2 1 1
direct
0.000 0.000 0.000
0.500 0.000 0.500
0.500 0.500 0.000
0.000 0.500 0.500
```

Output
**Calculated total energy**: -5.599 eV per atom
**Total magnetization**: 0.00 μB per formula unit

=====

5.
CaCdIr | PBEsol | optimized geometry

```
CaCdIr
1.0
3.214 0.000 0.000
0.000 4.668 0.000
0.000 -2.334 4.042
Cd Ca Ir
1 1 1
direct
0.500 0.333 0.667
0.000 0.000 0.000
0.500 0.667 0.333
```

Output
**Calculated total energy**: -4.448 eV per atom
**Total magnetization**: 0.00 μB per formula unit

=====

6.
CaCdIr2 | PBEsol | optimized geometry

```
CaCdIr2
1.0
2.929 0.000 0.000
1.464 2.536 0.000
1.464 0.845 9.175
Ca Ir Cd
1 2 1
direct
0.500 0.500 0.500
0.749 0.749 0.754
0.251 0.251 0.246
0.000 0.000 0.000
```

Output
**Calculated total energy**: -5.499 eV per atom
**Total magnetization**: 0.00 μB per formula unit

=====

7.
Ca3CdIr | PBEsol | optimized geometry

```
Ca3CdIr
1.0
5.392 0.000 0.000
0.000 5.392 0.000
0.000 0.000 5.392
Ir Ca Cd
1 3 1
direct
0.000 0.000 0.000
0.500 0.000 0.000
0.000 0.000 0.500
0.000 0.500 0.000
0.500 0.500 0.500
```

Output
**Calculated total energy**: -3.630 eV per atom
**Total magnetization**: 0.00 μB per formula unit

=====

8.
KCaCd4 | PBEsol | optimized geometry

```
KCaCd4
1.0
-1.012 -0.733 5.894
-4.395 -3.674 1.868
1.372 -5.227 2.665
K Ca Cd
1 1 4
direct
0.750 0.750 0.750
0.000 0.000 0.000
0.876 0.375 0.375
0.375 0.375 0.876
0.375 0.375 0.375
0.375 0.876 0.375
```

Output
**Calculated total energy**: -1.498 eV per atom
**Total magnetization**: 0.00 μB per formula unit

=====

9.
K2CaTaCd | PBEsol | optimized geometry

```
K2CaTaCd
1.0
-4.320 3.017 -1.386
-3.172 -5.233 -1.503
-2.164 -0.385 5.905
K Cd Ca Ta
2 1 1 1
direct
0.000 0.000 0.500
0.000 0.500 0.000
0.500 0.000 0.000
0.500 0.500 0.500
0.000 0.000 0.000
```

Output
**Calculated total energy**: -2.294 eV per atom
**Total magnetization**: 3.42 μB per formula unit

=====

10.
Ca2LaCd | PBEsol | optimized geometry

```
Ca2LaCd
1.0
-3.161 0.093 2.217
-0.303 -5.727 -0.191
5.125 2.476 3.839
Ca Cd La
2 1 1
direct
0.787 0.787 0.574
0.213 0.213 0.426
0.500 0.000 0.000
0.000 0.500 0.000
```

Output
**Calculated total energy**: -2.797 eV per atom
**Total magnetization**: 0.00 μB per formula unit

=====

11.
CaLaCd4 | PBEsol | optimized geometry

```
CaLaCd4
1.0
5.925 0.000 0.000
2.963 5.131 0.000
2.963 1.710 4.838
Cd Ca La
4 1 1
direct
0.375 0.874 0.375
0.375 0.375 0.874
0.375 0.375 0.375
0.874 0.375 0.375
0.000 0.000 0.000
0.750 0.750 0.750
```

Output
**Calculated total energy**: -2.391 eV per atom
**Total magnetization**: 0.00 μB per formula unit

=====

12.
Ca2LaCd | PBEsol | optimized geometry

```
Ca2LaCd
1.0
-2.556 1.475 2.269
1.113 -2.273 2.730
6.408 6.631 2.909
La Cd Ca
1 1 2
direct
0.500 0.500 0.704
0.000 0.000 0.495
0.500 0.500 0.301
0.000 0.000 0.000
```

Output
**Calculated total energy**: -2.843 eV per atom
**Total magnetization**: 0.00 μB per formula unit

=====

13.
Ca2LaCd | PBEsol | optimized geometry

```
Ca2LaCd
1.0
4.407 0.000 0.000
0.000 5.303 0.000
0.000 0.000 5.440
Ca La Cd
2 1 1
direct
0.500 0.500 0.000
0.000 0.000 0.000
0.000 0.500 0.500
0.500 0.000 0.500
```

Output
**Calculated total energy**: -2.784 eV per atom
**Total magnetization**: 0.00 μB per formula unit

=====

14.
Ca2LaCd | PBEsol | optimized geometry

```
Ca2LaCd
1.0
3.605 0.000 0.000
0.000 3.605 0.000
0.000 0.000 9.904
Ca La Cd
2 1 1
direct
0.000 0.000 0.796
0.000 0.000 0.204
0.500 0.500 0.500
0.500 0.500 0.000
```

Output
**Calculated total energy**: -2.808 eV per atom
**Total magnetization**: 0.00 μB per formula unit

=====

15.
CaLa2Cd2 | PBEsol | optimized geometry

```
CaLa2Cd2
1.0
-2.273 2.627 -3.061
-4.012 -1.832 1.407
2.488 4.894 5.853
Cd Ca La
2 1 2
direct
0.407 0.407 0.815
0.593 0.593 0.185
0.000 0.000 0.000
0.250 0.750 0.500
0.750 0.250 0.500
```

Output
**Calculated total energy**: -3.141 eV per atom
**Total magnetization**: 0.00 μB per formula unit
**Distance to the lowest polymorph of the same formula**: 125 meV/atom

=====

16.
Ca2LaCd | PBEsol | optimized geometry

```
Ca2LaCd
1.0
-1.834 1.334 -4.322
2.317 -3.728 -2.134
-4.500 -1.932 4.069
Ca La Cd
2 1 1
direct
0.250 0.750 0.500
0.750 0.250 0.500
0.000 0.000 0.000
0.500 0.500 0.000
```

Output
**Calculated total energy**: -2.707 eV per atom
**Total magnetization**: 0.00 μB per formula unit

=====

17.
Ca2LaCd | PBEsol | optimized geometry

```
Ca2LaCd
1.0
3.718 0.000 0.000
1.859 3.220 0.000
1.859 1.073 11.132
Ca Cd La
2 1 1
direct
0.239 0.239 0.283
0.761 0.761 0.717
0.500 0.500 0.500
0.000 0.000 0.000
```

Output
**Calculated total energy**: -2.728 eV per atom
**Total magnetization**: 0.00 μB per formula unit

=====

18.
CaLa4Cd | PBEsol | optimized geometry

```
CaLa4Cd
1.0
6.579 0.000 0.000
3.289 5.697 0.000
3.289 1.899 5.372
La Cd Ca
4 1 1
direct
0.372 0.372 0.884
0.372 0.884 0.372
0.372 0.372 0.372
0.884 0.372 0.372
0.000 0.000 0.000
0.750 0.750 0.750
```

Output
**Calculated total energy**: -3.911 eV per atom
**Total magnetization**: 0.00 μB per formula unit

=====

19.
CaLa2Cd2 | PBEsol | optimized geometry

```
CaLa2Cd2
1.0
-2.781 1.763 1.862
-3.039 -7.957 2.997
5.314 0.707 7.265
Cd La Ca
4 4 2
direct
0.000 0.874 0.626
0.000 0.626 0.126
0.000 0.126 0.374
0.000 0.374 0.874
0.500 0.331 0.169
0.500 0.831 0.331
0.500 0.169 0.669
0.500 0.669 0.831
0.000 0.000 0.000
0.000 0.500 0.500
```

Output
**Calculated total energy**: -3.267 eV per atom
**Total magnetization**: 0.00 μB per formula unit
**Distance to the lowest polymorph of the same formula**: 0 meV/atom

=====

20.
LiCaCd2 | PBEsol | optimized geometry

```
LiCaCd2
1.0
5.073 0.000 0.000
2.537 4.394 0.000
2.537 1.465 4.142
Cd Li Ca
2 1 1
direct
0.250 0.250 0.250
0.750 0.750 0.750
0.500 0.500 0.500
0.000 0.000 0.000
```

Output
**Calculated total energy**: -1.865 eV per atom
**Total magnetization**: 0.00 μB per formula unit
**Distance to the lowest polymorph of the same formula**: 39 meV/atom

=====

21.
Li2CaCd2 | PBEsol | optimized geometry

```
Li2CaCd2
1.0
4.185 0.000 0.000
0.000 4.185 0.000
-2.092 -2.092 6.640
Li Cd Ca
2 2 1
direct
0.750 0.250 0.500
0.250 0.750 0.500
0.608 0.608 0.216
0.392 0.392 0.784
0.000 0.000 0.000
```

Output
**Calculated total energy**: -1.889 eV per atom
**Total magnetization**: 0.00 μB per formula unit
**Distance to the lowest polymorph of the same formula**: 0 meV/atom

=====

22.
LiCaCd | PBEsol | optimized geometry

```
LiCaCd
1.0
3.746 0.000 0.000
0.000 4.854 0.000
0.000 -2.427 4.204
Li Cd Ca
1 1 1
direct
0.000 0.667 0.333
0.000 0.333 0.667
0.500 0.000 0.000
```

Output
**Calculated total energy**: -1.958 eV per atom
**Total magnetization**: 0.00 μB per formula unit
**Distance to the lowest polymorph of the same formula**: 31 meV/atom

=====

23.
LiCaCd2 | PBEsol | optimized geometry

```
LiCaCd2
1.0
4.301 0.030 0.031
-0.032 4.688 0.024
-0.032 -0.024 4.688
Cd Li Ca
2 1 1
direct
0.000 0.500 0.000
0.000 0.000 0.500
0.500 0.000 0.000
0.500 0.500 0.500
```

Output
**Calculated total energy**: -1.831 eV per atom
**Total magnetization**: 0.00 μB per formula unit
**Distance to the lowest polymorph of the same formula**: 72 meV/atom

=====

24.
LiCaCd2 | PBEsol | optimized geometry

```
LiCaCd2
1.0
3.504 0.000 0.000
1.752 3.035 0.000
1.752 1.012 9.561
Cd Ca Li
2 1 1
direct
0.751 0.751 0.746
0.007 0.007 0.978
0.253 0.253 0.240
0.488 0.488 0.536
```

Output
**Calculated total energy**: -1.636 eV per atom
**Total magnetization**: 0.00 μB per formula unit
**Distance to the lowest polymorph of the same formula**: 267 meV/atom

=====

25.
LiCaCd | PBEsol | optimized geometry

```
LiCaCd
1.0
3.713 0.000 0.000
0.000 3.713 0.000
-1.856 -1.856 5.264
Ca Li Cd
1 1 1
direct
0.005 0.005 0.011
0.308 0.308 0.616
0.686 0.686 0.373
```

Output
**Calculated total energy**: -1.989 eV per atom
**Total magnetization**: 0.00 μB per formula unit
**Distance to the lowest polymorph of the same formula**: 0 meV/atom

=====

26.
LiCaCd2 | PBEsol | optimized geometry

```
LiCaCd2
1.0
-0.815 4.176 -2.594
-3.147 -3.836 -0.400
-4.577 0.315 1.945
Ca Cd Li
1 2 1
direct
0.250 0.500 0.250
0.750 0.500 0.750
0.500 0.000 0.500
0.000 0.000 0.000
```

Output
**Calculated total energy**: -1.903 eV per atom
**Total magnetization**: 0.00 μB per formula unit
**Distance to the lowest polymorph of the same formula**: 0 meV/atom

=====

27.
LiCa2Cd2 | PBEsol | optimized geometry

```
LiCa2Cd2
1.0
-3.544 1.889 1.918
2.469 -2.540 7.064
4.092 6.690 0.974
Ca Cd Li
4 4 2
direct
0.500 0.668 0.832
0.500 0.168 0.668
0.500 0.832 0.332
0.500 0.332 0.168
0.000 0.632 0.132
0.000 0.132 0.368
0.000 0.868 0.632
0.000 0.368 0.868
0.000 0.000 0.000
0.000 0.500 0.500
```

Output
**Calculated total energy**: -1.958 eV per atom
**Total magnetization**: 0.00 μB per formula unit

=====

28.
Li2CaCd2 | PBEsol | optimized geometry

```
Li2CaCd2
1.0
-1.907 0.247 2.699
-6.676 -0.622 -4.660
0.159 -8.118 0.857
Ca Cd Li
2 4 4
direct
0.000 0.500 0.500
0.000 0.000 0.000
0.000 0.371 0.871
0.000 0.129 0.371
0.000 0.871 0.629
0.000 0.629 0.129
0.500 0.664 0.836
0.500 0.164 0.664
0.500 0.336 0.164
0.500 0.836 0.336
```

Output
**Calculated total energy**: -1.864 eV per atom
**Total magnetization**: 0.00 μB per formula unit
**Distance to the lowest polymorph of the same formula**: 26 meV/atom

=====

29.
Li4CaCd | PBEsol | optimized geometry

```
Li4CaCd
1.0
5.600 0.000 0.000
2.800 4.850 0.000
2.800 1.617 4.572
Li Cd Ca
4 1 1
direct
0.373 0.882 0.373
0.373 0.373 0.373
0.882 0.373 0.373
0.373 0.373 0.882
0.000 0.000 0.000
0.750 0.750 0.750
```

Output
**Calculated total energy**: -1.955 eV per atom
**Total magnetization**: 0.00 μB per formula unit